The following is a PBE-GGA calculation of Ba3YW2N6 after structural relaxation, from Alexandria.

The structure in POSCAR format:
```
Ba3YW2N6
1.0
6.263 0.000 0.000
-3.132 5.424 0.000
0.000 0.000 7.449
Ba Y W N
3 1 2 6
direct
0.000 0.000 0.000 Ba
0.333 0.667 0.682 Ba
0.667 0.333 0.318 Ba
0.000 0.000 0.500 Y
0.333 0.667 0.223 W
0.667 0.333 0.777 W
0.172 0.343 0.299 N
0.172 0.828 0.299 N
0.343 0.172 0.701 N
0.657 0.828 0.299 N
0.828 0.172 0.701 N
0.828 0.657 0.701 N
```

crystal system = trigonal
magnetic moment = 0.0 μB per formula unit
electronic total energy = -8.204 eV per atom

The following is a PBE-GGA calculation of Ba2YW2N6 after structural relaxation, from Alexandria.

The structure in POSCAR format:
```
Ba2YW2N6
1.0
5.467 -3.122 0.000
5.467 3.122 0.000
-3.951 0.000 6.136
Ba Y W N
2 1 2 6
direct
0.212 0.212 0.184 Ba
0.788 0.788 0.816 Ba
0.000 0.000 0.500 Y
0.457 0.457 0.785 W
0.543 0.543 0.215 W
0.209 0.699 0.229 N
0.256 0.256 0.629 N
0.301 0.791 0.771 N
0.699 0.209 0.229 N
0.744 0.744 0.371 N
0.791 0.301 0.771 N
```

crystal system = monoclinic
magnetic moment = 1.0 μB per formula unit
electronic total energy = -8.583 eV per atom

The following is a PBE-GGA calculation of BaZrWN2 after structural relaxation, from Alexandria.

The structure in POSCAR format:
```
BaZrWN2
1.0
4.358 0.000 0.000
0.000 4.358 0.000
0.000 0.000 6.287
Ba Zr W N
1 1 1 2
direct
0.000 0.000 0.000 Ba
0.000 0.000 0.500 Zr
0.500 0.500 0.500 W
0.000 0.500 0.000 N
0.500 0.000 0.000 N
```

crystal system = tetragonal
magnetic moment = 2.9 μB per formula unit
electronic total energy = -5.154 eV per atom

The following is a PBE-GGA calculation of BaZrWN4 after structural relaxation, from Alexandria.

The structure in POSCAR format:
```
BaZrWN4
1.0
5.829 0.000 0.000
0.000 5.967 0.000
-2.311 0.000 7.073
Ba Zr W N
2 2 2 8
direct
0.224 0.250 0.438 Ba
0.776 0.750 0.562 Ba
0.320 0.250 0.966 Zr
0.680 0.750 0.034 Zr
0.224 0.750 0.153 W
0.776 0.250 0.847 W
0.002 0.250 0.078 N
0.023 0.750 0.307 N
0.453 0.512 0.176 N
0.453 0.988 0.176 N
0.547 0.012 0.824 N
0.547 0.488 0.824 N
0.977 0.250 0.693 N
0.998 0.750 0.922 N
```

crystal system = monoclinic
magnetic moment = 0.0 μB per formula unit
electronic total energy = -9.013 eV per atom

The following is a PBE-GGA calculation of Ba2ZrW2N6 after structural relaxation, from Alexandria.

The structure in POSCAR format:
```
Ba2ZrW2N6
1.0
3.090 1.784 6.211
-3.090 1.784 6.211
0.000 -3.568 6.211
Ba Zr W N
2 1 2 6
direct
0.233 0.233 0.233 Ba
0.767 0.767 0.767 Ba
0.000 0.000 0.000 Zr
0.427 0.427 0.427 W
0.573 0.573 0.573 W
0.237 0.237 0.739 N
0.237 0.739 0.237 N
0.261 0.763 0.763 N
0.739 0.237 0.237 N
0.763 0.261 0.763 N
0.763 0.763 0.261 N
```

crystal system = trigonal
magnetic moment = 0.0 μB per formula unit
electronic total energy = -8.870 eV per atom

The following is a PBE-GGA calculation of Ba3Y3N5 after structural relaxation, from Alexandria.

The structure in POSCAR format:
```
Ba3Y3N5
1.0
6.612 0.000 0.000
-1.926 8.626 0.000
-2.642 -3.818 8.680
Ba Y N
6 6 10
direct
0.173 0.321 0.380 Ba
0.194 0.128 0.716 Ba
0.258 0.934 0.093 Ba
0.742 0.066 0.907 Ba
0.806 0.872 0.284 Ba
0.827 0.679 0.620 Ba
0.216 0.468 0.085 Y
0.369 0.632 0.789 Y
0.387 0.806 0.470 Y
0.613 0.194 0.530 Y
0.631 0.368 0.211 Y
0.784 0.532 0.915 Y
0.125 0.579 0.904 N
0.254 0.778 0.651 N
0.266 0.997 0.385 N
0.276 0.213 0.028 N
0.495 0.407 0.678 N
0.505 0.593 0.322 N
0.724 0.787 0.972 N
0.734 0.003 0.615 N
0.746 0.222 0.349 N
0.875 0.421 0.096 N
```

crystal system = triclinic
magnetic moment = 0.0 μB per formula unit
electronic total energy = -7.028 eV per atom

The following is a PBE-GGA calculation of BaY2N after structural relaxation, from Alexandria.

The structure in POSCAR format:
```
BaY2N
1.0
1.781 1.029 10.026
-1.781 1.029 10.026
0.000 -2.057 10.026
Ba Y N
1 2 1
direct
0.000 0.000 0.000 Ba
0.123 0.123 0.123 Y
0.877 0.877 0.877 Y
0.500 0.500 0.500 N
```

crystal system = trigonal
magnetic moment = 0.3 μB per formula unit
electronic total energy = -6.406 eV per atom

The following is a PBE-GGA calculation of BaY2N after structural relaxation, from Alexandria.

The structure in POSCAR format:
```
BaY2N
1.0
0.000 5.206 5.206
5.206 0.000 5.206
5.206 5.206 0.000
Ba Y N
2 4 2
direct
0.125 0.125 0.125 Ba
0.875 0.875 0.875 Ba
0.000 0.500 0.500 Y
0.500 0.000 0.500 Y
0.500 0.500 0.000 Y
0.500 0.500 0.500 Y
0.375 0.375 0.375 N
0.625 0.625 0.625 N
```

crystal system = cubic
magnetic moment = 0.0 μB per formula unit
electronic total energy = -6.387 eV per atom

The following is a PBE-GGA calculation of BaY3N after structural relaxation, from Alexandria.

The structure in POSCAR format:
```
BaY3N
1.0
5.101 0.000 0.000
0.000 5.101 0.000
0.000 0.000 5.101
Ba Y N
1 3 1
direct
0.000 0.000 0.000 Ba
0.000 0.500 0.500 Y
0.500 0.000 0.500 Y
0.500 0.500 0.000 Y
0.500 0.500 0.500 N
```

crystal system = cubic
magnetic moment = 0.0 μB per formula unit
electronic total energy = -6.193 eV per atom

The following is a PBE-GGA calculation of BaYZnN2 after structural relaxation, from Alexandria.

The structure in POSCAR format:
```
BaYZnN2
1.0
6.047 0.000 0.000
0.000 5.467 0.000
-0.192 0.000 6.730
Ba Y Zn N
2 2 2 4
direct
0.000 0.097 0.250 Ba
0.000 0.903 0.750 Ba
0.500 0.483 0.750 Y
0.500 0.517 0.250 Y
0.500 0.000 0.000 Zn
0.500 0.000 0.500 Zn
0.318 0.280 0.004 N
0.318 0.720 0.504 N
0.682 0.280 0.496 N
0.682 0.720 0.996 N
```

crystal system = monoclinic
magnetic moment = 0.0 μB per formula unit
electronic total energy = -5.802 eV per atom

The following is a PBE-GGA calculation of BaYZnN2 after structural relaxation, from Alexandria.

The structure in POSCAR format:
```
BaYZnN2
1.0
4.443 0.000 0.000
0.000 4.443 0.000
0.000 0.000 4.888
Ba Y Zn N
1 1 1 2
direct
0.000 0.000 0.000 Ba
0.500 0.500 0.000 Y
0.500 0.500 0.500 Zn
0.000 0.500 0.500 N
0.500 0.000 0.500 N
```

crystal system = tetragonal
magnetic moment = 0.0 μB per formula unit
electronic total energy = -3.981 eV per atom

The following is a PBE-GGA calculation of Ba2ZnN after structural relaxation, from Alexandria.

The structure in POSCAR format:
```
Ba2ZnN
1.0
0.000 3.771 3.771
3.771 0.000 3.771
3.771 3.771 0.000
Ba Zn N
2 1 1
direct
0.250 0.250 0.250 Ba
0.750 0.750 0.750 Ba
0.000 0.000 0.000 Zn
0.500 0.500 0.500 N
```

crystal system = cubic
magnetic moment = 0.0 μB per formula unit
electronic total energy = -3.074 eV per atom